First-principles (GGA+U) data for crystalline ScCr2PdF at its relaxed geometry, as listed in the Alexandria database.

The space group is P4/mmm (123). The value obtained for the total energy is -5.66 eV per atom.

Unit cell a=5.3576 b=3.8290 c=5.3576 alpha=90.00 beta=90.00 gamma=90.00
Closest atoms and distances in Å follow each position.
Positions (direct):
Sc1 0.0000 0.0000 0.0000  2 F 1.91
F1 0.0000 0.5000 0.0000  2 Sc 1.91
Pd1 0.5000 0.5000 0.5000  8 Cr 3.29
Cr1 0.0000 0.0000 0.5000  2 Sc 2.68
Cr2 0.5000 0.0000 0.0000  2 Sc 2.68